1.
# Ho2Tl5In

An optimized crystal structure of Ho2Tl5In (PBE, the Alexandria database).

a = 6.7149 Å, b = 13.4310 Å, c = 4.7097 Å
α = 90.00°, β = 90.00°, γ = 90.00°
With the nearest neighbours (Å) after each atom.
Space group Pbam (No. 55)
One atom of each set of equivalent atoms:
Ho1 0.2461 0.1246 0.0000 (multiplicity 4)  10 Tl 3.33-3.38, 2 In 3.35
Tl1 0.0000 0.0000 0.5000 (multiplicity 2)  4 Ho 3.33, 2 In 3.36, 6 Tl 3.36-3.38
Tl2 0.0055 0.7487 0.5000 (multiplicity 4)  4 Ho 3.33-3.36, 7 Tl 3.34-3.38, 1 In 3.34
Tl3 0.2431 0.3765 0.0000 (multiplicity 4)  2 In 3.31, 4 Ho 3.33-3.38, 6 Tl 3.34-3.37
In1 0.0000 0.5000 0.5000 (multiplicity 2)  8 Tl 3.31-3.36, 4 Ho 3.35

## Properties
The total energy is -3.199 eV/atom. The calculation puts the formation enthalpy at 0 K at -0.233 eV/atom. For the density of states at the Fermi level, the calculation gives 2.58 states/eV/f.u. The calculation puts the spin magnetization at 0.00 μB/f.u.

2.
# Ho8TlIn5

An optimized crystal structure of Ho8TlIn5 (PBE, the Alexandria database).

a = 9.2757 Å, b = 9.2757 Å, c = 9.2900 Å
α = 90.00°, β = 90.00°, γ = 90.00°
With the nearest neighbours (Å) after each atom.
Space group I-4 (No. 82)
One atom of each set of equivalent atoms:
Ho1 0.0748 0.1755 0.3015 (multiplicity 8)  5 In 3.12-3.30, 1 Tl 3.31
Ho2 0.0752 0.3252 0.9502 (multiplicity 8)  5 In 3.13-3.30, 1 Tl 3.13
Tl1 0.0000 0.0000 0.0000 (multiplicity 2)  8 Ho 3.13-3.31
In1 0.0000 0.5000 0.2500 (multiplicity 2)  8 Ho 3.13-3.30
In2 0.1252 0.2506 0.6255 (multiplicity 8)  8 Ho 3.12-3.30

## Properties
The total energy is -4.055 eV/atom. The calculation puts the formation enthalpy at 0 K at -0.292 eV/atom. For the density of states at the Fermi level, the calculation gives 18.27 states/eV/f.u. The calculation puts the spin magnetization at 0.00 μB/f.u.